1.
# PBE Sb3Se, optimized geometry
data_Sb3Se
_chemical_formula_sum 'Sb12 Se4'
_symmetry_space_group_name_H-M 'P 1'
_symmetry_Int_Tables_number 1
_cell_length_a 6.481
_cell_length_b 6.481
_cell_length_c 11.597
_cell_angle_alpha 90.00
_cell_angle_beta 90.00
_cell_angle_gamma 120.00
loop_
_symmetry_equiv_pos_as_xyz
'x,y,z'
loop_
_atom_site_label
_atom_site_type_symbol
_atom_site_fract_x
_atom_site_fract_y
_atom_site_fract_z
Sb1 Sb 0.500 0.000 0.000
Sb2 Sb 0.500 0.000 0.500
Sb3 Sb 0.000 0.500 0.000
Sb4 Sb 0.500 0.500 0.000
Sb5 Sb 0.500 0.500 0.500
Sb6 Sb 0.000 0.500 0.500
Sb7 Sb 0.822 0.645 0.250
Sb8 Sb 0.178 0.355 0.750
Sb9 Sb 0.355 0.178 0.250
Sb10 Sb 0.822 0.178 0.250
Sb11 Sb 0.178 0.822 0.750
Sb12 Sb 0.645 0.822 0.750
Se1 Se 0.000 0.000 0.000
Se2 Se 0.000 0.000 0.500
Se3 Se 0.333 0.667 0.250
Se4 Se 0.667 0.333 0.750
# - total magnetization (μB per formula unit) = 0.0
# - ΔE to the lowest computed polymorph (meV/atom) = 313
# - DOS(E_F) (states/eV per cell) = 10.65
# - ΔE_f (raw) (eV per atom) = 0.30
# - symmetry = P6_3/mmc (194)
# - theoretical density (g/cm³) = 6.99

2.
# PBE Sb4Se, optimized geometry
data_Sb4Se
_chemical_formula_sum 'Sb4 Se1'
_symmetry_space_group_name_H-M 'P 1'
_symmetry_Int_Tables_number 1
_cell_length_a 5.845
_cell_length_b 5.845
_cell_length_c 5.845
_cell_angle_alpha 109.47
_cell_angle_beta 109.47
_cell_angle_gamma 109.47
loop_
_symmetry_equiv_pos_as_xyz
'x,y,z'
loop_
_atom_site_label
_atom_site_type_symbol
_atom_site_fract_x
_atom_site_fract_y
_atom_site_fract_z
Sb1 Sb 0.500 0.000 0.000
Sb2 Sb 0.500 0.500 0.500
Sb3 Sb 0.000 0.000 0.500
Sb4 Sb 0.000 0.500 0.000
Se1 Se 0.000 0.000 0.000
# - total magnetization (μB per formula unit) = 0.0
# - ΔE to the lowest computed polymorph (meV/atom) = 0
# - DOS(E_F) (states/eV per cell) = 3.57
# - ΔE_f (raw) (eV per atom) = 0.33
# - symmetry = Im-3m (229)
# - theoretical density (g/cm³) = 6.11

3.
# PBE Sb3Se, optimized geometry
data_Sb3Se
_chemical_formula_sum 'Sb3 Se1'
_symmetry_space_group_name_H-M 'P 1'
_symmetry_Int_Tables_number 1
_cell_length_a 6.174
_cell_length_b 4.301
_cell_length_c 4.296
_cell_angle_alpha 90.00
_cell_angle_beta 90.00
_cell_angle_gamma 90.00
loop_
_symmetry_equiv_pos_as_xyz
'x,y,z'
loop_
_atom_site_label
_atom_site_type_symbol
_atom_site_fract_x
_atom_site_fract_y
_atom_site_fract_z
Sb1 Sb 0.000 0.000 0.833
Sb2 Sb 0.000 0.500 0.335
Sb3 Sb 0.500 0.500 0.332
Se1 Se 0.500 0.000 0.833
# - total magnetization (μB per formula unit) = 0.0
# - ΔE to the lowest computed polymorph (meV/atom) = 15
# - DOS(E_F) (states/eV per cell) = 1.82
# - ΔE_f (raw) (eV per atom) = 0.00
# - symmetry = Pmm2 (25)
# - theoretical density (g/cm³) = 6.47